[1]
Density functional theory data (PBE) for crystalline AcHfSnO6 at its relaxed geometry.

Output
**Raw total energy**: -7.885 eV per atom

Lattice parameters (Å, degrees): 5.550 5.550 10.584 90.00 90.00 120.00
Sites, in units of the cell vectors:
Ac  0.000  0.000  0.000
Ac  0.000  0.000  0.500
Hf  0.667  0.333  0.250
Hf  0.333  0.667  0.750
Sn  0.333  0.667  0.250
Sn  0.667  0.333  0.750
O  0.631  0.631  0.143
O  0.000  0.369  0.143
O  0.369  0.000  0.643
O  0.000  0.631  0.857
O  0.369  0.369  0.357
O  0.000  0.631  0.357
O  0.631  0.000  0.857
O  0.631  0.000  0.357
O  0.000  0.369  0.643
O  0.369  0.000  0.143
O  0.631  0.631  0.643
O  0.369  0.369  0.857

***

[2]
Density functional theory data (PBE) for crystalline SrAc2HfO6 at its relaxed geometry.

Output
**Raw total energy**: -8.272 eV per atom

Lattice parameters (Å, degrees): 6.155 6.155 6.233 60.41 60.41 60.00
Sites, in units of the cell vectors:
Sr  0.806  0.806  0.582
Ac  0.537  0.537  0.389
Ac  0.036  0.036  0.891
Hf  0.314  0.314  0.057
O  0.573  0.192  0.250
O  0.192  0.985  0.250
O  0.985  0.573  0.250
O  0.428  0.659  0.781
O  0.659  0.132  0.781
O  0.132  0.428  0.781

***

[3]
Density functional theory data (PBE) for crystalline AcHfTcO6 at its relaxed geometry.

Output
**Raw total energy**: -8.687 eV per atom

Lattice parameters (Å, degrees): 5.387 5.387 10.733 90.00 90.00 120.00
Sites, in units of the cell vectors:
Ac  0.000  0.000  0.000
Ac  0.000  0.000  0.500
Hf  0.333  0.667  0.250
Hf  0.667  0.333  0.750
Tc  0.667  0.333  0.250
Tc  0.333  0.667  0.750
O  0.636  0.622  0.146
O  0.987  0.364  0.146
O  0.364  0.987  0.646
O  0.013  0.636  0.854
O  0.378  0.364  0.354
O  0.987  0.622  0.354
O  0.622  0.987  0.854
O  0.636  0.013  0.354
O  0.013  0.378  0.646
O  0.378  0.013  0.146
O  0.622  0.636  0.646
O  0.364  0.378  0.854

***

[4]
Density functional theory data (PBE) for crystalline AcHfTi2O8 at its relaxed geometry.

Output
**Raw total energy**: -8.751 eV per atom

Lattice parameters (Å, degrees): 6.074 6.074 6.074 107.34 107.34 113.81
Sites, in units of the cell vectors:
Ac  0.250  0.750  0.500
Hf  0.000  0.000  0.000
Ti  0.750  0.250  0.500
Ti  0.500  0.500  0.000
O  0.378  0.082  0.296
O  0.295  0.465  0.169
O  0.295  0.126  0.831
O  0.786  0.082  0.704
O  0.874  0.705  0.169
O  0.918  0.214  0.296
O  0.918  0.622  0.704
O  0.535  0.705  0.831

***

[5]
Density functional theory data (PBE) for crystalline Ac2HfTlO6 at its relaxed geometry.

Output
**Raw total energy**: -7.832 eV per atom

Lattice parameters (Å, degrees): 6.165 6.165 6.339 60.90 60.90 60.00
Sites, in units of the cell vectors:
Ac  0.535  0.535  0.395
Ac  0.027  0.027  0.919
Hf  0.315  0.315  0.056
Tl  0.795  0.795  0.614
O  0.572  0.211  0.233
O  0.211  0.984  0.233
O  0.984  0.572  0.233
O  0.420  0.663  0.777
O  0.663  0.140  0.777
O  0.140  0.420  0.777

***

[6]
Density functional theory data (PBE) for crystalline AcHfTl2O6 at its relaxed geometry.

Output
**Raw total energy**: -6.967 eV per atom

Lattice parameters (Å, degrees): 5.904 5.905 6.367 62.38 62.39 60.01
Sites, in units of the cell vectors:
Ac  0.805  0.805  0.584
Hf  0.319  0.319  0.043
Tl  0.541  0.540  0.378
Tl  0.020  0.020  0.939
O  0.586  0.196  0.237
O  0.196  0.981  0.237
O  0.981  0.586  0.237
O  0.388  0.692  0.786
O  0.692  0.135  0.786
O  0.134  0.388  0.786

***

[7]
Density functional theory data (PBE) for crystalline Ac2HfUO8 at its relaxed geometry.

Output
**Raw total energy**: -9.014 eV per atom

Lattice parameters (Å, degrees): 4.194 5.734 7.469 90.00 90.00 96.52
Sites, in units of the cell vectors:
Ac  0.500  0.500  0.743
Ac  0.500  0.500  0.257
Hf  0.000  0.000  0.500
U  0.000  0.000  0.000
O  0.056  0.786  0.244
O  0.583  0.788  0.000
O  0.944  0.214  0.244
O  0.944  0.214  0.756
O  0.417  0.212  0.000
O  0.056  0.786  0.756
O  0.581  0.779  0.500
O  0.419  0.221  0.500

***

> Number 3 is which compound?

AcHfTcO6

***

> The highest raw total energy belongs to which entry?

AcHfTl2O6